A geometry-optimized Ca2MgCl structure. Source: the Alexandria database, functional PBE-GGA.

Summary:
E_form (uncorrected) in kJ/mol of formula units: -162
Relative energy among the computed polymorphs in eV/atom: 0.389
Density in Mg/m³: 1.83
E in eV/atom: -2.282
V in Å³/atom: 31.81
DOS(E_F) in states/eV/f.u.: 4.96

```
data_Ca2MgCl
_cell_length_a 7.9842
_cell_length_b 7.9842
_cell_length_c 7.9842
_cell_angle_alpha 90.00
_cell_angle_beta 90.00
_cell_angle_gamma 90.00
_symmetry_space_group_name_H-M 'F m -3 m'
_symmetry_Int_Tables_number 225
_symmetry_space_group_name_Hall '-F 4 2 3'
loop_
_atom_site_label
_atom_site_fract_x
_atom_site_fract_y
_atom_site_fract_z
Ca1 0.2500 0.2500 0.2500
Mg1 0.0000 0.0000 0.0000
Cl1 0.0000 0.0000 0.5000
```

***

A geometry-optimized Sc3Mn structure. Source: the Alexandria database, functional PBE-GGA.

Summary:
Calculated formation energy in eV per atom: 0.111
Density in Mg/m³: 3.71
E in eV/atom: -6.930
V in Å³/atom: 21.25
DOS(E_F) in states/eV/f.u.: 4.25

```
data_Sc3Mn
_cell_length_a 3.2606
_cell_length_b 4.8861
_cell_length_c 5.3355
_cell_angle_alpha 90.00
_cell_angle_beta 90.00
_cell_angle_gamma 90.00
_symmetry_space_group_name_H-M 'P m m 2'
_symmetry_Int_Tables_number 25
_symmetry_space_group_name_Hall 'P 2 -2'
loop_
_atom_site_label
_atom_site_fract_x
_atom_site_fract_y
_atom_site_fract_z
Sc1 0.0000 0.0000 0.0000
Sc2 0.0000 0.5000 0.3591
Sc3 0.5000 0.5000 0.8394
Mn1 0.5000 0.0000 0.5026
```

***

A geometry-optimized HfMn2Rh2 structure. Source: the Alexandria database, functional PBE-GGA.

Summary:
Calculated formation energy in eV per atom: -0.118
Density in Mg/m³: 11.54
E in eV/atom: -8.718
V in Å³/atom: 14.22
DOS(E_F) in states/eV/f.u.: 5.01

```
data_HfMn2Rh2
_cell_length_a 7.1994
_cell_length_b 7.1994
_cell_length_c 2.7437
_cell_angle_alpha 90.00
_cell_angle_beta 90.00
_cell_angle_gamma 90.00
_symmetry_space_group_name_H-M 'P 4/m b m'
_symmetry_Int_Tables_number 127
_symmetry_space_group_name_Hall '-P 4 2ab'
loop_
_atom_site_label
_atom_site_fract_x
_atom_site_fract_y
_atom_site_fract_z
Hf1 0.0000 0.0000 0.0000
Mn1 0.1123 0.3877 0.0000
Rh1 0.1802 0.6802 0.5000
```

***

A geometry-optimized CaAcZn2Au2 structure. Source: the Alexandria database, functional PBE-GGA.

Summary:
Calculated formation energy in eV per atom: -0.627
Density in Mg/m³: 9.12
E in eV/atom: -3.162
V in Å³/atom: 24.04
DOS(E_F) in states/eV/f.u.: 2.66

```
data_CaAcZn2Au2
_cell_length_a 4.6331
_cell_length_b 4.6331
_cell_length_c 7.7592
_cell_angle_alpha 90.00
_cell_angle_beta 90.00
_cell_angle_gamma 120.00
_symmetry_space_group_name_H-M 'P -3 m 1'
_symmetry_Int_Tables_number 164
_symmetry_space_group_name_Hall '-P 3 2"'
loop_
_atom_site_label
_atom_site_fract_x
_atom_site_fract_y
_atom_site_fract_z
Ca1 0.0000 0.0000 0.0000
Ac1 0.0000 0.0000 0.5000
Zn1 0.3333 0.6667 0.7752
Au1 0.3333 0.6667 0.2326
```

***

A geometry-optimized PmNdGaAg structure. Source: the Alexandria database, functional PBE-GGA.

Summary:
Calculated formation energy in eV per atom: -0.410
Density in Mg/m³: 7.51
E in eV/atom: -4.259
V in Å³/atom: 25.80
DOS(E_F) in states/eV/f.u.: 4.29

```
data_PmNdGaAg
_cell_length_a 7.4459
_cell_length_b 7.4459
_cell_length_c 7.4459
_cell_angle_alpha 90.00
_cell_angle_beta 90.00
_cell_angle_gamma 90.00
_symmetry_space_group_name_H-M 'F -4 3 m'
_symmetry_Int_Tables_number 216
_symmetry_space_group_name_Hall 'F -4 2 3'
loop_
_atom_site_label
_atom_site_fract_x
_atom_site_fract_y
_atom_site_fract_z
Pm1 0.0000 0.0000 0.0000
Nd1 0.0000 0.0000 0.5000
Ga1 0.2500 0.2500 0.7500
Ag1 0.2500 0.2500 0.2500
```

***

A geometry-optimized TlHg9Pb2 structure. Source: the Alexandria database, functional PBE-GGA.

Summary:
Calculated formation energy in eV per atom: 0.031
Relative energy among the computed polymorphs in eV/atom: 0.004
Density in Mg/m³: 11.88
E in eV/atom: -1.010
V in Å³/atom: 28.25
DOS(E_F) in states/eV/f.u.: 6.13

```
data_TlHg9Pb2
_cell_length_a 5.7801
_cell_length_b 5.7801
_cell_length_c 10.1449
_cell_angle_alpha 90.00
_cell_angle_beta 90.00
_cell_angle_gamma 90.00
_symmetry_space_group_name_H-M 'P 4/m m m'
_symmetry_Int_Tables_number 123
_symmetry_space_group_name_Hall '-P 4 2'
loop_
_atom_site_label
_atom_site_fract_x
_atom_site_fract_y
_atom_site_fract_z
Tl1 0.0000 0.0000 0.0000
Hg1 0.0000 0.5000 0.1700
Hg2 0.0000 0.5000 0.5000
Hg3 0.5000 0.5000 0.0000
Hg4 0.5000 0.5000 0.3353
Pb1 0.0000 0.0000 0.3392
```

***

Q: What is the formula in the second record?
A: Sc3Mn

***

Q: What is the formula in the fourth record?
A: CaAcZn2Au2

***

Repeat the fifth record exactly.
A geometry-optimized PmNdGaAg structure. Source: the Alexandria database, functional PBE-GGA.

Summary:
Calculated formation energy in eV per atom: -0.410
Density in Mg/m³: 7.51
E in eV/atom: -4.259
V in Å³/atom: 25.80
DOS(E_F) in states/eV/f.u.: 4.29

```
data_PmNdGaAg
_cell_length_a 7.4459
_cell_length_b 7.4459
_cell_length_c 7.4459
_cell_angle_alpha 90.00
_cell_angle_beta 90.00
_cell_angle_gamma 90.00
_symmetry_space_group_name_H-M 'F -4 3 m'
_symmetry_Int_Tables_number 216
_symmetry_space_group_name_Hall 'F -4 2 3'
loop_
_atom_site_label
_atom_site_fract_x
_atom_site_fract_y
_atom_site_fract_z
Pm1 0.0000 0.0000 0.0000
Nd1 0.0000 0.0000 0.5000
Ga1 0.2500 0.2500 0.7500
Ag1 0.2500 0.2500 0.2500
```

***

Q: Look up the density of the first one.
A: 1.83 Mg/m³